(1)
The following is a DFT calculation (PBEsol) of a geometry-optimized BaSi2Ir2 structure.

Properties
E_form (uncorrected), kJ/mol of formula units: -407.0
Crystal system: monoclinic
Space group: No. 14

a = 7.906 Å, b = 6.665 Å, c = 7.711 Å
α = 90.00°, β = 92.07°, γ = 90.00°
Element x y z (fractional)
Ba 0.234 0.119 0.498
Ba 0.234 0.381 0.998
Ba 0.766 0.619 0.002
Ba 0.766 0.881 0.502
Si 0.072 0.581 0.370
Si 0.072 0.919 0.870
Si 0.438 0.648 0.689
Si 0.438 0.852 0.189
Si 0.562 0.148 0.811
Si 0.562 0.352 0.311
Si 0.928 0.081 0.130
Si 0.928 0.419 0.630
Ir 0.139 0.667 0.670
Ir 0.139 0.833 0.170
Ir 0.377 0.605 0.388
Ir 0.377 0.895 0.888
Ir 0.623 0.105 0.112
Ir 0.623 0.395 0.612
Ir 0.861 0.167 0.830
Ir 0.861 0.333 0.330



(2)
The following is a DFT calculation (PBEsol) of a geometry-optimized Ba2SiIr structure.

Properties
E_form (uncorrected), kJ/mol of formula units: 179.5
Crystal system: trigonal
Space group: No. 166

a = 4.220 Å, b = 4.220 Å, c = 25.141 Å
α = 90.00°, β = 90.00°, γ = 120.00°
Element x y z (fractional)
Ba 0.000 0.000 0.238
Ba 0.000 0.000 0.762
Ba 0.333 0.667 0.428
Ba 0.333 0.667 0.905
Ba 0.667 0.333 0.095
Ba 0.667 0.333 0.572
Si 0.000 0.000 0.000
Si 0.333 0.667 0.667
Si 0.667 0.333 0.333
Ir 0.000 0.000 0.500
Ir 0.333 0.667 0.167
Ir 0.667 0.333 0.833



(3)
The following is a DFT calculation (PBEsol) of a geometry-optimized Ba2SiTcIr structure.

Properties
E_form (uncorrected), kJ/mol of formula units: 362.2
Crystal system: tetragonal
Space group: No. 123

a = 5.992 Å, b = 5.992 Å, c = 4.523 Å
α = 90.00°, β = 90.00°, γ = 90.00°
Element x y z (fractional)
Ba 0.000 0.500 0.000
Ba 0.500 0.000 0.000
Si 0.000 0.000 0.500
Tc 0.500 0.500 0.500
Ir 0.000 0.000 0.000



(4)
The following is a DFT calculation (PBEsol) of a geometry-optimized BaSn3Ir structure.

Properties
Crystal system: cubic
Space group: No. 221
Formation enthalpy at 0 K, eV per atom: -0.110

a = 5.219 Å, b = 5.219 Å, c = 5.219 Å
α = 90.00°, β = 90.00°, γ = 90.00°
Element x y z (fractional)
Ba 0.000 0.000 0.000
Sn 0.000 0.500 0.500
Sn 0.500 0.000 0.500
Sn 0.500 0.500 0.000
Ir 0.500 0.500 0.500



(5)
The following is a DFT calculation (PBEsol) of a geometry-optimized BaSnIr2W structure.

Properties
Crystal system: tetragonal
Space group: No. 123
Formation enthalpy at 0 K, eV per atom: 3.053

a = 5.033 Å, b = 5.033 Å, c = 5.132 Å
α = 90.00°, β = 90.00°, γ = 90.00°
Element x y z (fractional)
Ba 0.000 0.000 0.000
Sn 0.500 0.500 0.500
Ir 0.000 0.500 0.000
Ir 0.500 0.000 0.000
W 0.000 0.000 0.500



(6)
The following is a DFT calculation (PBEsol) of a geometry-optimized BaSr2Ir structure.

Properties
E above lowest polymorph, meV per atom: 107
Crystal system: tetragonal
Space group: No. 123
Formation enthalpy at 0 K, eV per atom: 0.073

a = 3.692 Å, b = 3.692 Å, c = 10.675 Å
α = 90.00°, β = 90.00°, γ = 90.00°
Element x y z (fractional)
Ba 0.000 0.000 0.000
Sr 0.500 0.500 0.343
Sr 0.500 0.500 0.657
Ir 0.000 0.000 0.500



no.,calculated volume (A^3/atom),uncorrected energy (eV/atom)
1,20.30,-7.501
2,32.31,-4.502
3,32.48,-5.476
4,28.44,-5.060
5,25.99,-4.919
6,36.38,-3.840